Density functional theory data (GGA-PBE) for an optimized crystal structure of Dy2ZnSi3Pt4.

Unit cell a=4.181 b=4.181 c=10.089 alpha=90.00 beta=90.00 gamma=90.00
Space group P-4m2 (No. 115)
One atom of each set of equivalent atoms:
Dy1 0.000 0.500 0.246 x2
Zn1 0.500 0.500 0.000 x1
Si1 0.000 0.000 0.000 x1
Si2 0.000 0.500 0.631 x2
Pt1 0.000 0.000 0.500 x1
Pt2 0.000 0.500 0.862 x2
Pt3 0.500 0.500 0.500 x1

calculated total energy: -6.13 eV/atom
formation energy without anion corrections: -1.04 eV/atom

Density functional theory data (GGA-PBE) for an optimized crystal structure of Y2Pb2I.

Unit cell a=9.117 b=9.117 c=3.789 alpha=90.00 beta=90.00 gamma=90.00
Space group P4/mbm (No. 127)
One atom of each set of equivalent atoms:
Y1 0.181 0.319 0.000 x4
Pb1 0.116 0.616 0.500 x4
I1 0.000 0.000 0.500 x2

polymorph energy (0 for the lowest one): 24.99 kJ/mol of atoms
calculated total energy: -4.69 eV/atom
formation energy without anion corrections: -0.31 eV/atom

Density functional theory data (GGA-PBE) for an optimized crystal structure of Cs2CaMgI6.

Unit cell a=8.5504 b=8.5504 c=43.1761 alpha=90.00 beta=90.00 gamma=120.00
Space group R-3m (No. 166, hexagonal axes)
One atom of each set of equivalent atoms:
Cs1 0.0000 0.0000 0.1245 x6
Cs2 0.0000 0.0000 0.2943 x6
Ca1 0.0000 0.0000 0.4146 x6
Mg1 0.0000 0.0000 0.0000 x3
Mg2 0.0000 0.0000 0.5000 x3
I1 0.0076 0.5038 0.1266 x18
I2 0.0109 0.5054 0.7062 x18

polymorph energy (0 for the lowest one): 0.00 kJ/mol of atoms
calculated total energy: -2.88 eV/atom
formation energy without anion corrections: -1.42 eV/atom

Density functional theory data (GGA-PBE) for an optimized crystal structure of PuAl2Ag2.

Unit cell a=8.231 b=8.231 c=2.816 alpha=90.00 beta=90.00 gamma=90.00
Space group P4/mbm (No. 127)
One atom of each set of equivalent atoms:
Pu1 0.000 0.000 0.000 x2
Al1 0.170 0.330 0.500 x4
Ag1 0.126 0.626 0.000 x4

polymorph energy (0 for the lowest one): 0.00 kJ/mol of atoms
calculated total energy: -5.60 eV/atom

Density functional theory data (GGA-PBE) for an optimized crystal structure of Ba2TcAu.

Unit cell a=4.4191 b=4.4191 c=25.6736 alpha=90.00 beta=90.00 gamma=120.00
Space group R-3m (No. 166, hexagonal axes)
One atom of each set of equivalent atoms:
Ba1 0.0000 0.0000 0.2475 x6
Tc1 0.0000 0.0000 0.5000 x3
Au1 0.0000 0.0000 0.0000 x3

polymorph energy (0 for the lowest one): 36.11 kJ/mol of atoms
calculated total energy: -3.84 eV/atom

Density functional theory data (GGA-PBE) for an optimized crystal structure of Nb2PdI8.

Unit cell a=10.947 b=12.122 c=7.215 alpha=90.00 beta=95.68 gamma=90.00
Space group C2/m (No. 12)
One atom of each set of equivalent atoms:
Nb1 0.119 0.000 0.168 x4
Pd1 0.000 0.000 0.500 x2
I1 0.104 0.212 0.275 x8
I2 0.133 0.500 0.747 x4
I3 0.163 0.000 0.806 x4

calculated total energy: -3.70 eV/atom
formation energy without anion corrections: -0.27 eV/atom

Density functional theory data (GGA-PBE) for an optimized crystal structure of NaCa2Gd.

Unit cell a=3.734 b=3.734 c=10.902 alpha=90.00 beta=90.00 gamma=90.00
Space group P4/mmm (No. 123)
One atom of each set of equivalent atoms:
Na1 0.000 0.000 0.000 x1
Ca1 0.500 0.500 0.258 x2
Gd1 0.000 0.000 0.500 x1

polymorph energy (0 for the lowest one): 0.00 kJ/mol of atoms
calculated total energy: -4.77 eV/atom

Density functional theory data (GGA-PBE) for an optimized crystal structure of TlTc2Rh.

Unit cell a=2.8918 b=2.8918 c=27.2124 alpha=90.00 beta=90.00 gamma=120.00
Space group R3m (No. 160, hexagonal axes)
One atom of each set of equivalent atoms:
Tl1 0.0000 0.0000 0.0000 x3
Tc1 0.0000 0.0000 0.5006 x3
Tc2 0.0000 0.0000 0.7584 x3
Rh1 0.0000 0.0000 0.2458 x3

polymorph energy (0 for the lowest one): 8.27 kJ/mol of atoms
calculated total energy: -7.28 eV/atom

Density functional theory data (GGA-PBE) for an optimized crystal structure of Ba3Na2Mg.

Unit cell a=4.437 b=4.437 c=14.689 alpha=90.00 beta=90.00 gamma=90.00
Space group P4/mmm (No. 123)
One atom of each set of equivalent atoms:
Ba1 0.000 0.000 0.000 x1
Ba2 0.000 0.000 0.356 x2
Na1 0.500 0.500 0.178 x2
Mg1 0.500 0.500 0.500 x1

polymorph energy (0 for the lowest one): 0.00 kJ/mol of atoms
calculated total energy: -1.69 eV/atom

Density functional theory data (GGA-PBE) for an optimized crystal structure of PRhW.

Unit cell a=5.679 b=5.679 c=5.679 alpha=90.00 beta=90.00 gamma=90.00
Space group F-43m (No. 216)
One atom of each set of equivalent atoms:
P1 0.000 0.000 0.000 x4
Rh1 0.250 0.250 0.250 x4
W1 0.250 0.250 0.750 x4

calculated total energy: -8.67 eV/atom

Density functional theory data (GGA-PBE) for an optimized crystal structure of SbTe2Rh.

Unit cell a=6.517 b=6.517 c=12.352 alpha=90.00 beta=90.00 gamma=90.00
Space group I-42d (No. 122)
One atom of each set of equivalent atoms:
Sb1 0.000 0.000 0.000 x4
Te1 0.189 0.250 0.625 x8
Rh1 0.000 0.000 0.500 x4

calculated total energy: -4.37 eV/atom
formation energy without anion corrections: 0.06 eV/atom

Density functional theory data (GGA-PBE) for an optimized crystal structure of Tb5Y3Ho.

Unit cell a=18.181 b=6.326 c=11.416 alpha=90.00 beta=111.85 gamma=90.00
Space group C2/c (No. 15)
One atom of each set of equivalent atoms:
Tb1 0.000 0.102 0.250 x4
Tb2 0.169 0.214 0.711 x8
Tb3 0.170 0.320 0.373 x8
Y1 0.000 0.500 0.000 x4
Y2 0.159 0.191 0.014 x8
Ho1 0.000 0.376 0.750 x4

polymorph energy (0 for the lowest one): 0.00 kJ/mol of atoms
calculated total energy: -4.94 eV/atom

Density functional theory data (GGA-PBE) for an optimized crystal structure of Rb12Bi3I5.

Unit cell a=21.653 b=21.653 c=21.653 alpha=90.00 beta=90.00 gamma=90.00
Space group Ia-3d (No. 230)
One atom of each set of equivalent atoms:
Rb1 0.014 0.071 0.655 x96
Bi1 0.000 0.250 0.125 x24
I1 0.000 0.000 0.000 x16
I2 0.000 0.250 0.375 x24

calculated total energy: -2.36 eV/atom
formation energy without anion corrections: -0.81 eV/atom

Density functional theory data (GGA-PBE) for an optimized crystal structure of Te4IrRh.

Unit cell a=8.674 b=8.674 c=8.369 alpha=90.00 beta=90.00 gamma=90.00
Space group I4_1md (No. 109)
One atom of each set of equivalent atoms:
Te1 0.000 0.306 0.000 x8
Te2 0.000 0.307 0.499 x8
Ir1 0.000 0.000 0.502 x4
Rh1 0.000 0.000 0.997 x4

polymorph energy (0 for the lowest one): 23.62 kJ/mol of atoms
calculated total energy: -4.88 eV/atom
formation energy without anion corrections: -0.08 eV/atom

Density functional theory data (GGA-PBE) for an optimized crystal structure of CrSiH.

Unit cell a=3.1314 b=3.1314 c=3.2264 alpha=90.00 beta=90.00 gamma=120.00
Space group P-6m2 (No. 187)
One atom of each set of equivalent atoms:
Cr1 0.0000 0.0000 0.0000 x1
Si1 0.3333 0.6667 0.5000 x1
H1 0.6667 0.3333 0.0000 x1

polymorph energy (0 for the lowest one): 0.00 kJ/mol of atoms
calculated total energy: -6.20 eV/atom

Density functional theory data (GGA-PBE) for an optimized crystal structure of Mg2AlCr.

Unit cell a=5.720 b=8.957 c=5.504 alpha=90.00 beta=102.07 gamma=90.00
Space group C2/m (No. 12)
One atom of each set of equivalent atoms:
Mg1 0.000 0.223 0.000 x4
Mg2 0.123 0.500 0.762 x4
Al1 0.250 0.250 0.500 x4
Cr1 0.111 0.000 0.674 x4

calculated total energy: -3.96 eV/atom

Density functional theory data (GGA-PBE) for an optimized crystal structure of TiCo4B4.

Unit cell a=4.896 b=4.896 c=6.767 alpha=90.00 beta=90.00 gamma=90.00
Space group P4_2/nmc (No. 137, origin choice 2)
One atom of each set of equivalent atoms:
Ti1 0.250 0.750 0.250 x2
Co1 0.000 0.250 0.107 x8
B1 0.074 0.250 0.404 x8

calculated total energy: -7.42 eV/atom

Density functional theory data (GGA-PBE) for an optimized crystal structure of Pu8ZnPt6.

Unit cell a=12.2358 b=12.2358 c=8.1868 alpha=90.00 beta=90.00 gamma=120.00
Space group R-3 (No. 148, hexagonal axes)
One atom of each set of equivalent atoms:
Pu1 0.0000 0.0000 0.1669 x6
Pu2 0.0087 0.7788 0.6765 x18
Zn1 0.0000 0.0000 0.5000 x3
Pt1 0.0700 0.8158 0.0739 x18

calculated total energy: -10.52 eV/atom

Density functional theory data (GGA-PBE) for an optimized crystal structure of ErPaOs4.

Unit cell a=7.574 b=7.574 c=7.574 alpha=90.00 beta=90.00 gamma=90.00
Space group F-43m (No. 216)
One atom of each set of equivalent atoms:
Er1 0.000 0.000 0.000 x4
Pa1 0.250 0.250 0.250 x4
Os1 0.125 0.125 0.625 x16

calculated total energy: -10.12 eV/atom